No. 1
A plane-wave DFT calculation with PBE was carried out for AlFeBi3 after structural relaxation.

```
data_AlFeBi3
_cell_length_a 5.3621
_cell_length_b 5.3621
_cell_length_c 5.3621
_cell_angle_alpha 90.00
_cell_angle_beta 90.00
_cell_angle_gamma 90.00
_symmetry_space_group_name_H-M 'P 1'
_symmetry_Int_Tables_number 1
loop_
_symmetry_equiv_pos_as_xyz
'x,y,z'
loop_
_atom_site_label
_atom_site_type_symbol
_atom_site_fract_x
_atom_site_fract_y
_atom_site_fract_z
Al1 Al 0.0000 0.0000 0.0000
Bi1 Bi 0.0000 0.5000 0.0000
Bi2 Bi 0.0000 0.0000 0.5000
Bi3 Bi 0.5000 0.0000 0.0000
Fe1 Fe 0.5000 0.5000 0.5000
```

Formation energy: 1.353 eV per atom
DOS at the Fermi energy: 15.46 states/eV/cell
Space group: No. 221
Size of the total moment: 0.03 μB/atom
Crystal system: cubic
Total DFT energy (no corrections): -3.416 eV/atom



No. 2
A plane-wave DFT calculation with PBE was carried out for BaLiIr2 after structural relaxation.

```
data_BaLiIr2
_cell_length_a 5.5094
_cell_length_b 5.5094
_cell_length_c 5.5094
_cell_angle_alpha 136.47
_cell_angle_beta 136.47
_cell_angle_gamma 63.26
_symmetry_space_group_name_H-M 'P 1'
_symmetry_Int_Tables_number 1
loop_
_symmetry_equiv_pos_as_xyz
'x,y,z'
loop_
_atom_site_label
_atom_site_type_symbol
_atom_site_fract_x
_atom_site_fract_y
_atom_site_fract_z
Ba1 Ba 0.7500 0.2500 0.5000
Ir1 Ir 0.0000 0.0000 0.0000
Ir2 Ir 0.5000 0.5000 0.0000
Li1 Li 0.2500 0.7500 0.5000
```

Formation energy: 0.461 eV per atom
DOS at the Fermi energy: 5.94 states/eV/cell
Space group: No. 139
Size of the total moment: 0.00 μB/atom
Crystal system: tetragonal
Total DFT energy (no corrections): -4.929 eV/atom



No. 3
A plane-wave DFT calculation with PBE was carried out for LaTmTh2P4 after structural relaxation.

```
data_LaTmTh2P4
_cell_length_a 4.1380
_cell_length_b 7.1657
_cell_length_c 7.1303
_cell_angle_alpha 109.61
_cell_angle_beta 90.00
_cell_angle_gamma 90.00
_symmetry_space_group_name_H-M 'P 1'
_symmetry_Int_Tables_number 1
loop_
_symmetry_equiv_pos_as_xyz
'x,y,z'
loop_
_atom_site_label
_atom_site_type_symbol
_atom_site_fract_x
_atom_site_fract_y
_atom_site_fract_z
La1 La 0.5000 0.5000 0.0000
Tm1 Tm 0.0000 0.0000 0.0000
Th1 Th 0.5000 0.0000 0.5000
Th2 Th 0.0000 0.5000 0.5000
P1 P 0.5000 0.2413 0.2462
P2 P 0.5000 0.7587 0.7538
P3 P 0.0000 0.2417 0.7476
P4 P 0.0000 0.7583 0.2524
```

Formation energy: -1.557 eV per atom
DOS at the Fermi energy: 3.94 states/eV/cell
Space group: No. 10
Size of the total moment: 0.00 μB/atom
Crystal system: monoclinic
Total DFT energy (no corrections): -7.292 eV/atom



No. 4
A plane-wave DFT calculation with PBE was carried out for Cd2CoHg after structural relaxation.

```
data_Cd2CoHg
_cell_length_a 3.2054
_cell_length_b 4.9264
_cell_length_c 5.9343
_cell_angle_alpha 53.53
_cell_angle_beta 90.00
_cell_angle_gamma 90.00
_symmetry_space_group_name_H-M 'P 1'
_symmetry_Int_Tables_number 1
loop_
_symmetry_equiv_pos_as_xyz
'x,y,z'
loop_
_atom_site_label
_atom_site_type_symbol
_atom_site_fract_x
_atom_site_fract_y
_atom_site_fract_z
Cd1 Cd 0.0000 0.0000 0.0000
Cd2 Cd 0.5000 0.5000 0.0000
Co1 Co 0.5000 0.5000 0.5000
Hg1 Hg 0.0000 0.0000 0.5000
```

Formation energy: 0.336 eV per atom
DOS at the Fermi energy: 3.84 states/eV/cell
Space group: No. 10
Size of the total moment: 0.34 μB/atom
Crystal system: monoclinic
Total DFT energy (no corrections): -1.974 eV/atom



No. 5
A plane-wave DFT calculation with PBE was carried out for TlTcPt2 after structural relaxation.

```
data_TlTcPt2
_cell_length_a 4.9998
_cell_length_b 4.9998
_cell_length_c 4.9998
_cell_angle_alpha 131.95
_cell_angle_beta 132.00
_cell_angle_gamma 70.27
_symmetry_space_group_name_H-M 'P 1'
_symmetry_Int_Tables_number 1
loop_
_symmetry_equiv_pos_as_xyz
'x,y,z'
loop_
_atom_site_label
_atom_site_type_symbol
_atom_site_fract_x
_atom_site_fract_y
_atom_site_fract_z
Pt1 Pt 0.0000 0.0000 0.0000
Pt2 Pt 0.5000 0.5000 0.0000
Tc1 Tc 0.2500 0.7500 0.5000
Tl1 Tl 0.7500 0.2500 0.5000
```

Formation energy: 0.278 eV per atom
DOS at the Fermi energy: 5.04 states/eV/cell
Space group: No. 139
Size of the total moment: 0.22 μB/atom
Crystal system: tetragonal
Total DFT energy (no corrections): -5.925 eV/atom



No. 6
A plane-wave DFT calculation with PBE was carried out for CaSiAs2 after structural relaxation.

```
data_CaSiAs2
_cell_length_a 5.4188
_cell_length_b 5.4188
_cell_length_c 5.4188
_cell_angle_alpha 141.45
_cell_angle_beta 119.43
_cell_angle_gamma 74.13
_symmetry_space_group_name_H-M 'P 1'
_symmetry_Int_Tables_number 1
loop_
_symmetry_equiv_pos_as_xyz
'x,y,z'
loop_
_atom_site_label
_atom_site_type_symbol
_atom_site_fract_x
_atom_site_fract_y
_atom_site_fract_z
As1 As 0.0484 0.0484 0.0000
As2 As 0.4516 0.4516 0.0000
Ca1 Ca 0.7500 0.2500 0.5000
Si1 Si 0.2500 0.7500 0.5000
```

DOS at the Fermi energy: 2.19 states/eV/cell
Space group: No. 71
Size of the total moment: 0.00 μB/atom
Crystal system: orthorhombic
Total DFT energy (no corrections): -4.415 eV/atom



No. 7
A plane-wave DFT calculation with PBE was carried out for TmThPa2N6 after structural relaxation.

```
data_TmThPa2N6
_cell_length_a 6.0151
_cell_length_b 6.0150
_cell_length_c 6.0655
_cell_angle_alpha 60.27
_cell_angle_beta 60.27
_cell_angle_gamma 60.00
_symmetry_space_group_name_H-M 'P 1'
_symmetry_Int_Tables_number 1
loop_
_symmetry_equiv_pos_as_xyz
'x,y,z'
loop_
_atom_site_label
_atom_site_type_symbol
_atom_site_fract_x
_atom_site_fract_y
_atom_site_fract_z
Tm1 Tm 0.3024 0.3024 0.0929
Th1 Th 0.7922 0.7922 0.6233
Pa1 Pa 0.5246 0.5246 0.4261
Pa2 Pa 0.0208 0.0208 0.9375
N1 N 0.6431 0.2184 0.2394
N2 N 0.2184 0.8990 0.2394
N3 N 0.8990 0.6432 0.2395
N4 N 0.3914 0.7173 0.7390
N5 N 0.7173 0.1523 0.7390
N6 N 0.1523 0.3914 0.7391
```

DOS at the Fermi energy: 7.36 states/eV/cell
Space group: No. 146
Size of the total moment: 0.00 μB/atom
Crystal system: trigonal
Total DFT energy (no corrections): -9.566 eV/atom



No. 8
A plane-wave DFT calculation with PBE was carried out for Ag3ClF4 after structural relaxation.

```
data_Ag3ClF4
_cell_length_a 6.0128
_cell_length_b 6.7789
_cell_length_c 8.5661
_cell_angle_alpha 108.05
_cell_angle_beta 90.00
_cell_angle_gamma 116.33
_symmetry_space_group_name_H-M 'P 1'
_symmetry_Int_Tables_number 1
loop_
_symmetry_equiv_pos_as_xyz
'x,y,z'
loop_
_atom_site_label
_atom_site_type_symbol
_atom_site_fract_x
_atom_site_fract_y
_atom_site_fract_z
F1 F 0.2716 0.2466 0.9411
F2 F 0.9751 0.2466 0.4411
F3 F 0.5161 0.4445 0.6390
F4 F 0.9284 0.4445 0.1390
F5 F 0.0493 0.5923 0.8358
F6 F 0.5430 0.5923 0.3358
F7 F 0.0516 0.7132 0.5251
F8 F 0.6616 0.7132 0.0251
Ag1 Ag 0.6671 0.3651 0.8720
Ag2 Ag 0.6980 0.3651 0.3720
Ag3 Ag 0.2871 0.5794 0.5833
Ag4 Ag 0.2922 0.5794 0.0833
Ag5 Ag 0.9401 0.8691 0.8222
Ag6 Ag 0.9290 0.8691 0.3222
Cl1 Cl 0.6139 0.9695 0.7312
Cl2 Cl 0.3556 0.9695 0.2312
```

DOS at the Fermi energy: 8.35 states/eV/cell
Space group: No. 9
Size of the total moment: 0.00 μB/atom
Crystal system: monoclinic
Total DFT energy (no corrections): -3.196 eV/atom



No. 9
A plane-wave DFT calculation with PBE was carried out for Sb3PdPt after structural relaxation.

```
data_Sb3PdPt
_cell_length_a 5.2251
_cell_length_b 5.2251
_cell_length_c 5.2251
_cell_angle_alpha 90.00
_cell_angle_beta 90.00
_cell_angle_gamma 90.00
_symmetry_space_group_name_H-M 'P 1'
_symmetry_Int_Tables_number 1
loop_
_symmetry_equiv_pos_as_xyz
'x,y,z'
loop_
_atom_site_label
_atom_site_type_symbol
_atom_site_fract_x
_atom_site_fract_y
_atom_site_fract_z
Sb1 Sb 0.0000 0.5000 0.0000
Sb2 Sb 0.0000 0.0000 0.5000
Sb3 Sb 0.5000 0.0000 0.0000
Pd1 Pd 0.5000 0.5000 0.5000
Pt1 Pt 0.0000 0.0000 0.0000
```

DOS at the Fermi energy: 4.56 states/eV/cell
Space group: No. 221
Size of the total moment: 0.00 μB/atom
Crystal system: cubic
Total DFT energy (no corrections): -4.172 eV/atom



No. 10
A plane-wave DFT calculation with PBE was carried out for AcTb2Nd3Sm6 after structural relaxation.

```
data_AcTb2Nd3Sm6
_cell_length_a 6.3358
_cell_length_b 6.3358
_cell_length_c 12.1515
_cell_angle_alpha 94.99
_cell_angle_beta 94.99
_cell_angle_gamma 119.96
_symmetry_space_group_name_H-M 'P 1'
_symmetry_Int_Tables_number 1
loop_
_symmetry_equiv_pos_as_xyz
'x,y,z'
loop_
_atom_site_label
_atom_site_type_symbol
_atom_site_fract_x
_atom_site_fract_y
_atom_site_fract_z
Ac1 Ac 0.0000 0.0000 0.0000
Tb1 Tb 0.3334 0.6666 0.0000
Tb2 Tb 0.6666 0.3334 0.0000
Nd1 Nd 0.1671 0.8329 0.5000
Nd2 Nd 0.8329 0.1671 0.5000
Nd3 Nd 0.5000 0.5000 0.5000
Sm1 Sm 0.9158 0.5795 0.7491
Sm2 Sm 0.7479 0.7479 0.2512
Sm3 Sm 0.0842 0.4205 0.2509
Sm4 Sm 0.5795 0.9158 0.7491
Sm5 Sm 0.2521 0.2521 0.7488
Sm6 Sm 0.4205 0.0842 0.2509
```

Formation energy: 0.023 eV per atom
DOS at the Fermi energy: 17.08 states/eV/cell
Space group: No. 12
Size of the total moment: 0.00 μB/atom
Crystal system: monoclinic
Total DFT energy (no corrections): -4.642 eV/atom



Q: What is the DOS at the Fermi energy in the sixth record?
A: 2.19 states/eV/cell



Repeat the ninth record exactly.
A plane-wave DFT calculation with PBE was carried out for Sb3PdPt after structural relaxation.

```
data_Sb3PdPt
_cell_length_a 5.2251
_cell_length_b 5.2251
_cell_length_c 5.2251
_cell_angle_alpha 90.00
_cell_angle_beta 90.00
_cell_angle_gamma 90.00
_symmetry_space_group_name_H-M 'P 1'
_symmetry_Int_Tables_number 1
loop_
_symmetry_equiv_pos_as_xyz
'x,y,z'
loop_
_atom_site_label
_atom_site_type_symbol
_atom_site_fract_x
_atom_site_fract_y
_atom_site_fract_z
Sb1 Sb 0.0000 0.5000 0.0000
Sb2 Sb 0.0000 0.0000 0.5000
Sb3 Sb 0.5000 0.0000 0.0000
Pd1 Pd 0.5000 0.5000 0.5000
Pt1 Pt 0.0000 0.0000 0.0000
```

DOS at the Fermi energy: 4.56 states/eV/cell
Space group: No. 221
Size of the total moment: 0.00 μB/atom
Crystal system: cubic
Total DFT energy (no corrections): -4.172 eV/atom